## RbV2Br8 (PBE)

Data for a relaxed structure of RbV2Br8.

Computed properties:
As for the crystal system: monoclinic. Its uncorrected formation energy is -10.71 eV/f.u.

```
data_RbV2Br8
_space_group_name_H-M_alt 'C 1 2/m 1'
_space_group_IT_number 12
_space_group_name_Hall '-C 2y'
_cell_length_a 14.823
_cell_length_b 10.079
_cell_length_c 7.507
_cell_angle_alpha 90.00
_cell_angle_beta 106.20
_cell_angle_gamma 90.00
loop_
_atom_site_label
_atom_site_type_symbol
_atom_site_fract_x
_atom_site_fract_y
_atom_site_fract_z
Rb1 Rb 0.000 0.000 0.000
V1 V 0.206 0.000 0.685
Br1 Br 0.126 0.188 0.746
Br2 Br 0.141 0.500 0.124
Br3 Br 0.208 0.000 0.373
```

## LiThInNi (PBE)

Data for a relaxed structure of LiThInNi.

Computed properties:
As for the crystal system: cubic. The calculation puts the formation energy at -0.3388 eV per atom.

```
data_LiThInNi
_space_group_name_H-M_alt 'F -4 3 m'
_space_group_IT_number 216
_space_group_name_Hall 'F -4 2 3'
_cell_length_a 6.776
_cell_length_b 6.776
_cell_length_c 6.776
_cell_angle_alpha 90.00
_cell_angle_beta 90.00
_cell_angle_gamma 90.00
loop_
_atom_site_label
_atom_site_type_symbol
_atom_site_fract_x
_atom_site_fract_y
_atom_site_fract_z
Li1 Li 0.000 0.000 0.000
Th1 Th 0.250 0.250 0.250
In1 In 0.250 0.250 0.750
Ni1 Ni 0.000 0.000 0.500
```

## Tb5Pm2Dy (PBE)

Data for a relaxed structure of Tb5Pm2Dy.

Computed properties:
As for the crystal system: orthorhombic. The calculation puts the formation energy at 0.0151 eV per atom. The energy above the lowest structure with this stoichiometry comes out at 0 meV/atom.

```
data_Tb5Pm2Dy
_space_group_name_H-M_alt 'P b a m'
_space_group_IT_number 55
_space_group_name_Hall '-P 2 2ab'
_cell_length_a 7.165
_cell_length_b 14.331
_cell_length_c 5.056
_cell_angle_alpha 90.00
_cell_angle_beta 90.00
_cell_angle_gamma 90.00
loop_
_atom_site_label
_atom_site_type_symbol
_atom_site_fract_x
_atom_site_fract_y
_atom_site_fract_z
Tb1 Tb 0.000 0.000 0.000
Tb2 Tb 0.000 0.250 0.000
Tb3 Tb 0.250 0.125 0.500
Pm1 Pm 0.250 0.375 0.500
Dy1 Dy 0.000 0.500 0.000
```

## SrBeOs3 (PBE)

Data for a relaxed structure of SrBeOs3.

Computed properties:
As for the crystal system: cubic. The calculation puts the formation energy at 3.9110 eV per atom. The energy above the lowest structure with this stoichiometry comes out at 2972 meV/atom.

```
data_SrBeOs3
_space_group_name_H-M_alt 'P m -3 m'
_space_group_IT_number 221
_space_group_name_Hall '-P 4 2 3'
_cell_length_a 4.813
_cell_length_b 4.813
_cell_length_c 4.813
_cell_angle_alpha 90.00
_cell_angle_beta 90.00
_cell_angle_gamma 90.00
loop_
_atom_site_label
_atom_site_type_symbol
_atom_site_fract_x
_atom_site_fract_y
_atom_site_fract_z
Sr1 Sr 0.000 0.000 0.000
Be1 Be 0.500 0.500 0.500
Os1 Os 0.000 0.000 0.500
```

## Hf2MgTa (PBE)

Data for a relaxed structure of Hf2MgTa.

Computed properties:
As for the crystal system: tetragonal. The calculation puts the formation energy at 0.7251 eV per atom.

```
data_Hf2MgTa
_space_group_name_H-M_alt 'I -4 2 d'
_space_group_IT_number 122
_space_group_name_Hall 'I -4 2bw'
_cell_length_a 4.153
_cell_length_b 4.153
_cell_length_c 20.289
_cell_angle_alpha 90.00
_cell_angle_beta 90.00
_cell_angle_gamma 90.00
loop_
_atom_site_label
_atom_site_type_symbol
_atom_site_fract_x
_atom_site_fract_y
_atom_site_fract_z
Hf1 Hf 0.239 0.250 0.125
Mg1 Mg 0.000 0.000 0.500
Ta1 Ta 0.000 0.000 0.000
```

## Dy2Ge5Pd3 (PBE)

Data for a relaxed structure of Dy2Ge5Pd3.

Computed properties:
As for the crystal system: orthorhombic. The calculation puts the formation energy at -0.6859 eV per atom. The energy above the lowest structure with this stoichiometry comes out at 0 meV/atom.

```
data_Dy2Ge5Pd3
_space_group_name_H-M_alt 'I b a m'
_space_group_IT_number 72
_space_group_name_Hall '-I 2 2c'
_cell_length_a 10.309
_cell_length_b 11.909
_cell_length_c 6.144
_cell_angle_alpha 90.00
_cell_angle_beta 90.00
_cell_angle_gamma 90.00
loop_
_atom_site_label
_atom_site_type_symbol
_atom_site_fract_x
_atom_site_fract_y
_atom_site_fract_z
Dy1 Dy 0.228 0.131 0.000
Ge1 Ge 0.000 0.000 0.250
Ge2 Ge 0.000 0.276 0.250
Ge3 Ge 0.158 0.396 0.000
Pd1 Pd 0.000 0.500 0.250
Pd2 Pd 0.113 0.143 0.500
```

## BaY2Mn (PBE)

Data for a relaxed structure of BaY2Mn.

Computed properties:
As for the crystal system: orthorhombic. The calculation puts the formation energy at 0.3416 eV per atom. The energy above the lowest structure with this stoichiometry comes out at 131 meV/atom.

```
data_BaY2Mn
_space_group_name_H-M_alt 'I m m m'
_space_group_IT_number 71
_space_group_name_Hall '-I 2 2'
_cell_length_a 3.711
_cell_length_b 5.903
_cell_length_c 12.009
_cell_angle_alpha 90.00
_cell_angle_beta 90.00
_cell_angle_gamma 90.00
loop_
_atom_site_label
_atom_site_type_symbol
_atom_site_fract_x
_atom_site_fract_y
_atom_site_fract_z
Ba1 Ba 0.000 0.000 0.000
Y1 Y 0.000 0.500 0.204
Mn1 Mn 0.000 0.000 0.500
```

## ZnCrOs2 (PBE)

Data for a relaxed structure of ZnCrOs2.

Computed properties:
As for the crystal system: tetragonal. The calculation puts the formation energy at 0.3167 eV per atom.

```
data_ZnCrOs2
_space_group_name_H-M_alt 'P 4/m m m'
_space_group_IT_number 123
_space_group_name_Hall '-P 4 2'
_cell_length_a 4.306
_cell_length_b 4.306
_cell_length_c 2.930
_cell_angle_alpha 90.00
_cell_angle_beta 90.00
_cell_angle_gamma 90.00
loop_
_atom_site_label
_atom_site_type_symbol
_atom_site_fract_x
_atom_site_fract_y
_atom_site_fract_z
Zn1 Zn 0.000 0.000 0.000
Cr1 Cr 0.500 0.500 0.000
Os1 Os 0.000 0.500 0.500
```

## NaPrBi (PBE)

Data for a relaxed structure of NaPrBi.

Computed properties:
As for the crystal system: trigonal. The calculation puts the formation energy at -0.3633 eV per atom.

```
data_NaPrBi
_space_group_name_H-M_alt 'P 3 m 1'
_space_group_IT_number 156
_space_group_name_Hall 'P 3 -2"'
_cell_length_a 5.0222
_cell_length_b 5.0222
_cell_length_c 4.2515
_cell_angle_alpha 90.00
_cell_angle_beta 90.00
_cell_angle_gamma 120.00
loop_
_atom_site_label
_atom_site_type_symbol
_atom_site_fract_x
_atom_site_fract_y
_atom_site_fract_z
Na1 Na 0.0000 0.0000 0.0000
Pr1 Pr 0.6667 0.3333 0.5075
Bi1 Bi 0.3333 0.6667 0.0171
```

## LiSb2Br8 (PBE)

Data for a relaxed structure of LiSb2Br8.

Computed properties:
As for the crystal system: monoclinic. Its uncorrected formation energy is -6.93 eV/f.u.

```
data_LiSb2Br8
_space_group_name_H-M_alt 'C 1 2/m 1'
_space_group_IT_number 12
_space_group_name_Hall '-C 2y'
_cell_length_a 13.472
_cell_length_b 8.234
_cell_length_c 8.414
_cell_angle_alpha 90.00
_cell_angle_beta 92.11
_cell_angle_gamma 90.00
loop_
_atom_site_label
_atom_site_type_symbol
_atom_site_fract_x
_atom_site_fract_y
_atom_site_fract_z
Li1 Li 0.000 0.000 0.000
Sb1 Sb 0.127 0.000 0.354
Br1 Br 0.092 0.000 0.708
Br2 Br 0.126 0.229 0.142
Br3 Br 0.185 0.500 0.582
```

## Er3Pd8Pb2 (PBE)

Data for a relaxed structure of Er3Pd8Pb2.

Computed properties:
As for the crystal system: trigonal. The calculation puts the formation energy at -0.4997 eV per atom.

```
data_Er3Pd8Pb2
_space_group_name_H-M_alt 'R -3 m'
_space_group_IT_number 166
_space_group_name_Hall '-R 3 2"'
_cell_length_a 5.4846
_cell_length_b 5.4846
_cell_length_c 30.5145
_cell_angle_alpha 90.00
_cell_angle_beta 90.00
_cell_angle_gamma 120.00
loop_
_atom_site_label
_atom_site_type_symbol
_atom_site_fract_x
_atom_site_fract_y
_atom_site_fract_z
Er1 Er 0.0000 0.0000 0.0000
Er2 Er 0.0000 0.0000 0.1906
Pd1 Pd 0.0000 0.0000 0.2806
Pd2 Pd 0.0049 0.5025 0.7752
Pb1 Pb 0.0000 0.0000 0.3686
```

## Dy5Y3P8 (PBE)

Data for a relaxed structure of Dy5Y3P8.

Computed properties:
As for the crystal system: trigonal. The calculation puts the formation energy at -1.6203 eV per atom.

```
data_Dy5Y3P8
_space_group_name_H-M_alt 'R -3 m'
_space_group_IT_number 166
_space_group_name_Hall '-R 3 2"'
_cell_length_a 8.0180
_cell_length_b 8.0180
_cell_length_c 19.6407
_cell_angle_alpha 90.00
_cell_angle_beta 90.00
_cell_angle_gamma 120.00
loop_
_atom_site_label
_atom_site_type_symbol
_atom_site_fract_x
_atom_site_fract_y
_atom_site_fract_z
Dy1 Dy 0.0000 0.0000 0.0000
Dy2 Dy 0.0000 0.0000 0.5000
Dy3 Dy 0.0000 0.5000 0.0000
Y1 Y 0.0000 0.5000 0.5000
P1 P 0.0000 0.0000 0.2502
P2 P 0.0002 0.5001 0.2501
```

What are the DOS at the Fermi energy values for these records? In order: 13.51; 0.45; 10.59; 8.10; 4.55; 3.26; 4.93; 5.16; 1.16; 5.96; 7.29; 2.47 states/eV/f.u..
What are the ρ values for these records? In order: 2.55; 8.81; 7.98; 9.94; 10.67; 8.87; 4.67; 15.22; 6.67; 3.17; 11.08; 6.05 g/cm3.
What are the raw total energy values for these records? In order: -3.9363; -4.8022; -4.6418; -3.9085; -7.6134; -5.4728; -5.6635; -8.0225; -3.6898; -2.7702; -5.3188; -6.9754 eV per atom.